First-principles (PBE-GGA) data for crystalline Na2LaHg at its relaxed geometry, as listed in the Alexandria database.

Output
Its crystal system is tetragonal. The calculation puts the formation energy at 12 kJ/mol of formula units.

CIF file:
```
data_Na2LaHg
_space_group_name_H-M_alt 'I -4 2 d'
_space_group_IT_number 122
_space_group_name_Hall 'I -4 2bw'
_cell_length_a 4.554
_cell_length_b 4.554
_cell_length_c 25.518
_cell_angle_alpha 90.00
_cell_angle_beta 90.00
_cell_angle_gamma 90.00
loop_
_atom_site_label
_atom_site_type_symbol
_atom_site_fract_x
_atom_site_fract_y
_atom_site_fract_z
Na1 Na 0.222 0.250 0.125
La1 La 0.000 0.000 0.500
Hg1 Hg 0.000 0.000 0.000
```